Record 1
DFT (GGA-PBE) results for crystalline KAlTc2 at its relaxed geometry.

```
KAlTc2
1.0
4.6971 -1.3697 0.0000
4.6971 1.3697 0.0000
-0.7356 0.0000 6.8757
K Al Tc
1 1 2
Direct
0.0000 0.0000 0.0000
0.5000 0.5000 0.5000
0.2239 0.2239 0.6445
0.7761 0.7761 0.3555
```

Values from the calculation:
The formation energy is 0.6943 eV per atom. For the theoretical density, the calculation gives 4.9 g cm⁻³. The crystal system is monoclinic. The calculation puts the density of states at the Fermi level at 3.9 states/eV/cell.

---

Record 2
DFT (GGA-PBE) results for crystalline KTl3Hg3 at its relaxed geometry.

```
KTl3Hg3
1.0
9.5506 0.0000 0.0000
0.0000 9.5506 0.0000
0.0000 0.0000 9.5506
K Tl Hg
4 12 12
Direct
0.0491 0.4509 0.5491
0.4509 0.5491 0.0491
0.5491 0.0491 0.4509
0.9509 0.9509 0.9509
0.1216 0.6216 0.8784
0.1741 0.1741 0.1741
0.1859 0.8141 0.3141
0.3141 0.1859 0.8141
0.3259 0.8259 0.6741
0.3784 0.3784 0.3784
0.6216 0.8784 0.1216
0.6741 0.3259 0.8259
0.6859 0.6859 0.6859
0.8141 0.3141 0.1859
0.8259 0.6741 0.3259
0.8784 0.1216 0.6216
0.0120 0.3054 0.8911
0.1089 0.5120 0.1946
0.1946 0.1089 0.5120
0.3054 0.8911 0.0120
0.3911 0.4880 0.6946
0.4880 0.6946 0.3911
0.5120 0.1946 0.1089
0.6089 0.9880 0.8054
0.6946 0.3911 0.4880
0.8054 0.6089 0.9880
0.8911 0.0120 0.3054
0.9880 0.8054 0.6089
```

Values from the calculation:
The formation energy is -0.0863 eV per atom. As for the distance to the lowest polymorph of the same formula: 0.00 eV/f.u. For the theoretical density, the calculation gives 9.6 g cm⁻³. The crystal system is cubic. The calculation puts the density of states at the Fermi level at 13.4 states/eV/cell.

---

Record 3
DFT (GGA-PBE) results for crystalline Cs4ZrTe4 at its relaxed geometry.

```
Cs4ZrTe4
1.0
-4.5275 4.5275 7.5324
4.5275 -4.5275 7.5324
4.5275 4.5275 -7.5324
Cs Zr Te
4 1 4
Direct
0.0000 0.5000 0.5000
0.1959 0.1959 0.0000
0.5000 0.0000 0.5000
0.8041 0.8041 0.0000
0.5000 0.5000 0.0000
0.2158 0.5690 0.0000
0.4310 0.4310 0.6468
0.5690 0.2158 0.0000
0.7842 0.7842 0.3532
```

Values from the calculation:
As for the distance to the lowest polymorph of the same formula: 0.73 eV/f.u. For the theoretical density, the calculation gives 3.0 g cm⁻³. The crystal system is tetragonal. The uncorrected formation energy is -1.0094 eV per atom. The calculation puts the density of states at the Fermi level at 0.0 states/eV/cell.

---

Record 4
DFT (GGA-PBE) results for crystalline TlAg7F12 at its relaxed geometry.

```
TlAg7F12
1.0
-4.3276 4.3276 4.3276
4.3276 -4.3276 4.3276
4.3276 4.3276 -4.3276
Tl Ag F
1 7 12
Direct
0.0000 0.0000 0.0000
0.0000 0.0000 0.5000
0.0000 0.5000 0.0000
0.0000 0.5000 0.5000
0.5000 0.0000 0.0000
0.5000 0.0000 0.5000
0.5000 0.5000 0.0000
0.5000 0.5000 0.5000
0.1395 0.8255 0.3140
0.1745 0.3140 0.4886
0.1745 0.6860 0.8605
0.3140 0.1395 0.8255
0.3140 0.4886 0.1745
0.4886 0.1745 0.3140
0.5114 0.8255 0.6860
0.6860 0.5114 0.8255
0.6860 0.8605 0.1745
0.8255 0.3140 0.1395
0.8255 0.6860 0.5114
0.8605 0.1745 0.6860
```

Values from the calculation:
For the theoretical density, the calculation gives 6.1 g cm⁻³. The crystal system is cubic. The uncorrected formation energy is -1.1937 eV per atom. The calculation puts the density of states at the Fermi level at 12.7 states/eV/cell.

---

Record 5
DFT (GGA-PBE) results for crystalline Ce2CdAg3 at its relaxed geometry.

```
Ce2CdAg3
1.0
-1.6610 2.4427 9.1215
1.6610 -2.4427 9.1215
1.6610 2.4427 -9.1215
Ce Cd Ag
2 1 3
Direct
0.0000 0.0000 0.0000
0.7478 0.2478 0.5000
0.5876 0.5876 0.0000
0.1622 0.6622 0.5000
0.3149 0.8149 0.5000
0.4333 0.4333 0.0000
```

Values from the calculation:
The formation energy is -0.0568 eV per atom. As for the distance to the lowest polymorph of the same formula: 0.78 eV/f.u. For the theoretical density, the calculation gives 8.0 g cm⁻³. The crystal system is orthorhombic. The calculation puts the density of states at the Fermi level at 14.5 states/eV/cell.

---

Record 6
DFT (GGA-PBE) results for crystalline TcRh at its relaxed geometry.

```
TcRh
1.0
-1.9477 1.9477 3.7709
1.9477 -1.9477 3.7709
1.9477 1.9477 -3.7709
Tc Rh
2 2
Direct
0.3750 0.6250 0.7500
0.6250 0.3750 0.2500
0.1250 0.8750 0.2500
0.8750 0.1250 0.7500
```

Values from the calculation:
The formation energy is -0.0530 eV per atom. As for the distance to the lowest polymorph of the same formula: 0.24 eV/f.u. For the theoretical density, the calculation gives 11.7 g cm⁻³. The crystal system is tetragonal. The calculation puts the density of states at the Fermi level at 4.0 states/eV/cell.

---

Record 7
DFT (GGA-PBE) results for crystalline KBa5Bi4 at its relaxed geometry.

```
KBa5Bi4
1.0
-2.3833 5.9845 8.3687
2.3833 -5.9845 8.3687
2.3833 5.9845 -8.3687
K Ba Bi
1 5 4
Direct
0.0000 0.0000 0.0000
0.0648 0.3506 0.7141
0.3635 0.6494 0.7141
0.5000 0.5000 0.0000
0.6365 0.3506 0.2859
0.9352 0.6494 0.2859
0.2451 0.2451 0.0000
0.2792 0.0000 0.2792
0.7208 0.0000 0.7208
0.7549 0.7549 0.0000
```

Values from the calculation:
The formation energy is -0.6911 eV per atom. For the theoretical density, the calculation gives 5.4 g cm⁻³. The crystal system is orthorhombic. The calculation puts the density of states at the Fermi level at 4.1 states/eV/cell.

---

Record 8
DFT (GGA-PBE) results for crystalline TbTmAu2 at its relaxed geometry.

```
TbTmAu2
1.0
3.5597 0.0000 0.0000
0.0000 3.5597 0.0000
0.0000 0.0000 7.2591
Tb Tm Au
1 1 2
Direct
0.0000 0.0000 0.0000
0.0000 0.0000 0.5000
0.5000 0.5000 0.2614
0.5000 0.5000 0.7386
```

Values from the calculation:
The formation energy is -0.8700 eV per atom. As for the distance to the lowest polymorph of the same formula: 0.07 eV/f.u. For the theoretical density, the calculation gives 13.0 g cm⁻³. The crystal system is tetragonal. The calculation puts the density of states at the Fermi level at 2.2 states/eV/cell.

---

Record 9
DFT (GGA-PBE) results for crystalline LiAl at its relaxed geometry.

```
LiAl
1.0
1.4170 0.8181 4.7072
-1.4170 0.8181 4.7072
0.0000 -1.6362 4.7072
Li Al
1 1
Direct
0.0000 0.0000 0.0000
0.5000 0.5000 0.5000
```

Values from the calculation:
The formation energy is -0.0905 eV per atom. For the theoretical density, the calculation gives 1.7 g cm⁻³. The crystal system is trigonal. The calculation puts the density of states at the Fermi level at 0.9 states/eV/cell.

---

Record 10
DFT (GGA-PBE) results for crystalline LaRe2Ni at its relaxed geometry.

```
LaRe2Ni
1.0
1.4119 0.8152 9.8885
-1.4119 0.8152 9.8885
0.0000 -1.6304 9.8885
La Re Ni
1 2 1
Direct
0.0000 0.0000 0.0000
0.2350 0.2350 0.2350
0.7650 0.7650 0.7650
0.5000 0.5000 0.5000
```

Values from the calculation:
The formation energy is 0.7013 eV per atom. As for the distance to the lowest polymorph of the same formula: 2.43 eV/f.u. For the theoretical density, the calculation gives 13.9 g cm⁻³. The crystal system is trigonal. The calculation puts the density of states at the Fermi level at 6.3 states/eV/cell.

---

Record 11
DFT (GGA-PBE) results for crystalline Cu2RePt at its relaxed geometry.

```
Cu2RePt
1.0
1.3614 0.7860 8.6541
-1.3614 0.7860 8.6541
0.0000 -1.5720 8.6541
Cu Re Pt
2 1 1
Direct
0.2495 0.2495 0.2495
0.7505 0.7505 0.7505
0.5000 0.5000 0.5000
0.0000 0.0000 0.0000
```

Values from the calculation:
The formation energy is 0.0752 eV per atom. As for the distance to the lowest polymorph of the same formula: 0.20 eV/f.u. For the theoretical density, the calculation gives 15.2 g cm⁻³. The crystal system is trigonal. The calculation puts the density of states at the Fermi level at 3.6 states/eV/cell.

---

Record 12
DFT (GGA-PBE) results for crystalline TiCdPb at its relaxed geometry.

```
TiCdPb
1.0
3.2579 0.0000 0.0000
-1.6289 2.8214 0.0000
0.0000 0.0000 14.8963
Ti Cd Pb
2 2 2
Direct
0.0000 0.0000 0.0000
0.3333 0.6667 0.5000
0.0000 0.0000 0.3458
0.0000 0.0000 0.6542
0.3333 0.6667 0.1612
0.3333 0.6667 0.8388
```

Values from the calculation:
The formation energy is 0.1796 eV per atom. As for the distance to the lowest polymorph of the same formula: 0.02 eV/f.u. For the theoretical density, the calculation gives 8.9 g cm⁻³. The crystal system is hexagonal. The calculation puts the density of states at the Fermi level at 4.8 states/eV/cell.

---

Record 13
DFT (GGA-PBE) results for crystalline LiPd2Au2 at its relaxed geometry.

```
LiPd2Au2
1.0
7.8209 0.0000 0.0000
0.0000 7.8209 0.0000
0.0000 0.0000 2.9582
Li Pd Au
2 4 4
Direct
0.0000 0.0000 0.0000
0.5000 0.5000 0.0000
0.1265 0.3735 0.0000
0.3735 0.8735 0.0000
0.6265 0.1265 0.0000
0.8735 0.6265 0.0000
0.1712 0.6712 0.5000
0.3288 0.1712 0.5000
0.6712 0.8288 0.5000
0.8288 0.3288 0.5000
```

Values from the calculation:
The formation energy is -0.1493 eV per atom. As for the distance to the lowest polymorph of the same formula: 0.13 eV/f.u. For the theoretical density, the calculation gives 11.3 g cm⁻³. The crystal system is tetragonal. The calculation puts the density of states at the Fermi level at 4.8 states/eV/cell.

---

Record 14
DFT (GGA-PBE) results for crystalline Cs2In3Hg6 at its relaxed geometry.

```
Cs2In3Hg6
1.0
9.1545 0.0000 0.0000
-4.5773 7.9280 0.0000
0.0000 0.0000 5.3584
Cs In Hg
2 3 6
Direct
0.3333 0.6667 0.0000
0.6667 0.3333 0.0000
0.0000 0.3342 0.5000
0.3342 0.0000 0.5000
0.6658 0.6658 0.5000
0.0000 0.1901 0.0000
0.0000 0.6726 0.5000
0.1901 0.0000 0.0000
0.3274 0.3274 0.5000
0.6726 0.0000 0.5000
0.8099 0.8099 0.0000
```

Values from the calculation:
The formation energy is -0.1208 eV per atom. For the theoretical density, the calculation gives 7.7 g cm⁻³. The crystal system is hexagonal. The calculation puts the density of states at the Fermi level at 6.1 states/eV/cell.

---

Record 15
DFT (GGA-PBE) results for crystalline Tb8TlPt2 at its relaxed geometry.

```
Tb8TlPt2
1.0
4.3687 -6.7775 0.0000
4.3687 6.7775 0.0000
-1.4356 0.0000 5.3314
Tb Tl Pt
8 1 2
Direct
0.0795 0.3304 0.5757
0.2445 0.7555 0.0000
0.3304 0.0795 0.5757
0.3924 0.3924 0.1947
0.6076 0.6076 0.8053
0.6696 0.9205 0.4243
0.7555 0.2445 0.0000
0.9205 0.6696 0.4243
0.0000 0.0000 0.0000
0.3037 0.6963 0.5000
0.6963 0.3037 0.5000
```

Values from the calculation:
The formation energy is -0.4796 eV per atom. For the theoretical density, the calculation gives 9.8 g cm⁻³. The crystal system is monoclinic. The calculation puts the density of states at the Fermi level at 13.4 states/eV/cell.

---

Record 16
DFT (GGA-PBE) results for crystalline NaZnCo2As at its relaxed geometry.

```
NaZnCo2As
1.0
4.4931 0.0000 0.0000
0.0000 4.4931 0.0000
0.0000 0.0000 4.8057
Na Zn Co As
1 1 2 1
Direct
0.0000 0.0000 0.0000
0.5000 0.5000 0.5000
0.0000 0.5000 0.0000
0.5000 0.0000 0.0000
0.0000 0.0000 0.5000
```

Values from the calculation:
The formation energy is 1.6242 eV per atom. For the theoretical density, the calculation gives 4.8 g cm⁻³. The crystal system is tetragonal. The calculation puts the density of states at the Fermi level at 7.6 states/eV/cell.

---

Record 17
DFT (GGA-PBE) results for crystalline TeMoCl2 at its relaxed geometry.

```
TeMoCl2
1.0
-1.5165 2.3666 7.7412
1.5165 -2.3666 7.7412
1.5165 2.3666 -7.7412
Te Mo Cl
1 1 2
Direct
0.0000 0.0000 0.0000
0.1586 0.6586 0.5000
0.2842 0.2842 0.0000
0.6551 0.1551 0.5000
```

Values from the calculation:
As for the distance to the lowest polymorph of the same formula: 1.40 eV/f.u. For the theoretical density, the calculation gives 4.4 g cm⁻³. The crystal system is orthorhombic. The uncorrected formation energy is -0.0777 eV per atom. The calculation puts the density of states at the Fermi level at 2.2 states/eV/cell.

---

Record 18
DFT (GGA-PBE) results for crystalline TlGaFeCl2 at its relaxed geometry.

```
TlGaFeCl2
1.0
5.3261 0.0000 0.0000
0.0000 5.3261 0.0000
0.0000 0.0000 4.9914
Tl Ga Fe Cl
1 1 1 2
Direct
0.0000 0.0000 0.0000
0.5000 0.5000 0.5000
0.5000 0.5000 0.0000
0.0000 0.5000 0.5000
0.5000 0.0000 0.5000
```

Values from the calculation:
For the theoretical density, the calculation gives 4.7 g cm⁻³. The crystal system is tetragonal. The uncorrected formation energy is 0.0405 eV per atom. The calculation puts the density of states at the Fermi level at 4.1 states/eV/cell.

---

Record 19
DFT (GGA-PBE) results for crystalline SrPuZn2 at its relaxed geometry.

```
SrPuZn2
1.0
3.6911 0.0000 0.0000
0.0000 3.6911 0.0000
0.0000 0.0000 7.5850
Sr Pu Zn
1 1 2
Direct
0.0000 0.0000 0.0000
0.0000 0.0000 0.5000
0.5000 0.5000 0.2799
0.5000 0.5000 0.7201
```

Values from the calculation:
The formation energy is -0.0757 eV per atom. For the theoretical density, the calculation gives 7.4 g cm⁻³. The crystal system is tetragonal. The calculation puts the density of states at the Fermi level at 8.0 states/eV/cell.

---

Record 20
DFT (GGA-PBE) results for crystalline Li5MgZn at its relaxed geometry.

```
Li5MgZn
1.0
3.2703 -3.8685 0.0000
3.2703 3.8685 0.0000
-2.8620 0.0000 10.0831
Li Mg Zn
10 2 2
Direct
0.0627 0.2694 0.0541
0.2221 0.7779 0.7500
0.2694 0.0627 0.5541
0.3883 0.4144 0.3660
0.4144 0.3883 0.8660
0.5856 0.6117 0.1340
0.6117 0.5856 0.6340
0.7306 0.9373 0.4459
0.7779 0.2221 0.2500
0.9373 0.7306 0.9459
0.1600 0.8400 0.2500
0.8400 0.1600 0.7500
0.0000 0.5000 0.5000
0.5000 0.0000 0.0000
```

Values from the calculation:
The formation energy is -0.0339 eV per atom. As for the distance to the lowest polymorph of the same formula: 0.00 eV/f.u. For the theoretical density, the calculation gives 1.6 g cm⁻³. The crystal system is monoclinic. The calculation puts the density of states at the Fermi level at 5.1 states/eV/cell.